A:
The following is a DFT calculation (GGA-PBE) of an optimized crystal structure of Be3BiRh.

Properties
V = 80 Å³ per cell

The structure in extended XYZ format:
```
5
Lattice="-1.737 -3.787 1.120 3.228 -2.067 -1.981 2.275 0.040 3.666" Properties=species:S:1:pos:R:3 pbc="T T T"
Be 1.614 -1.033 -0.990
Be 1.137 0.020 1.833
Be -0.869 -1.894 0.560
Rh 0.000 0.000 0.000
Bi 1.883 -2.907 1.403
```


B:
The following is a DFT calculation (GGA-PBE) of an optimized crystal structure of Be3BiRh.

Properties
V = 96 Å³ per cell

The structure in extended XYZ format:
```
5
Lattice="-0.342 4.053 2.096 -2.523 -1.919 3.299 3.801 -0.909 2.379" Properties=species:S:1:pos:R:3 pbc="T T T"
Be -1.262 -0.959 1.650
Be 1.901 -0.455 1.189
Be -0.171 2.026 1.048
Rh 0.468 0.612 3.887
Bi 0.000 0.000 0.000
```


Which one sits at the bottom of the stability order? B does.


A:
The following is a DFT calculation (GGA-PBE) of an optimized crystal structure of BeBi2Rh2.

Properties
V = 202 Å³ per cell

The structure in extended XYZ format:
```
10
Lattice="-5.781 4.834 1.500 -5.061 -5.554 -1.604 0.034 -0.980 3.286" Properties=species:S:1:pos:R:3 pbc="T T T"
Be 0.000 0.000 0.000
Be -5.421 -0.360 -0.052
Rh -3.988 -3.365 0.827
Rh -8.033 -2.215 1.211
Rh -6.821 1.665 2.355
Rh -2.776 0.515 1.971
Bi -6.215 -3.022 -0.837
Bi -8.196 0.393 0.201
Bi -4.627 2.302 0.734
Bi -2.646 -1.113 -0.305
```


B:
The following is a DFT calculation (GGA-PBE) of an optimized crystal structure of BeBi2Rh2.

Properties
V = 111 Å³ per cell

The structure in extended XYZ format:
```
5
Lattice="3.863 0.000 0.000 0.000 3.863 0.000 1.932 1.932 7.409" Properties=species:S:1:pos:R:3 pbc="T T T"
Be 0.000 0.000 0.000
Rh 3.863 1.932 3.705
Rh 1.932 3.863 3.705
Bi 1.932 1.932 1.731
Bi 3.863 3.863 5.678
```


Which one sits at the bottom of the stability order? B does.